! PBE Sm4Y3Sc2, optimized geometry; values from VASP
&SYSTEM
  ibrav = 0, nat = 9, ntyp = 3
/
ATOMIC_SPECIES
Sc 44.96 Sc.upf
Y 88.91 Y.upf
Sm 150.36 Sm.upf
ATOMIC_POSITIONS angstrom
Sc -3.0684 -0.6876 3.8368
Sc -6.1288 2.1420 -4.4325
Y -5.2783 1.6743 2.5349
Y 0.0000 0.0000 0.0000
Y -3.9188 -0.2199 -3.1306
Sm -2.1978 2.3652 -1.3249
Sm -3.4432 -0.4547 0.4390
Sm -5.7539 1.9090 -1.0347
Sm -6.9993 -0.9108 0.7292
CELL_PARAMETERS angstrom
-0.6008 4.9415 0.4050
-4.2577 0.0240 -6.6091
-4.3386 -3.5111 5.6084
! Energy of formation = 1.05 kcal/mol of atoms
! Size of the total moment = 0.000 Bohr magnetons per cell
! Polymorph energy (0 for the lowest one) = 0.0000 eV per atom
! Total DFT energy (no corrections) = -5.613 eV/atom
! SG = C2/m (12)